[1]
# CaPu3Au4

A geometry-optimized CaPu3Au4 structure (PBE-GGA, the Alexandria database).

Properties
The calculation puts the energy of formation at -0.4916 eV per atom. As for the space-group type: No. 123.

Cell and atoms, written as CIF:
```
data_CaPu3Au4
_chemical_formula_sum 'Ca1 Pu3 Au4'
_cell_length_a 3.586
_cell_length_b 3.586
_cell_length_c 14.990
_cell_angle_alpha 90.00
_cell_angle_beta 90.00
_cell_angle_gamma 90.00
_symmetry_space_group_name_H-M 'P 1'
_symmetry_Int_Tables_number 1
loop_
_symmetry_equiv_pos_as_xyz
'x,y,z'
loop_
_atom_site_label
_atom_site_fract_x
_atom_site_fract_y
_atom_site_fract_z
_atom_site_occupancy
Au1 0.000 0.000 0.124 1
Au2 0.000 0.000 0.876 1
Au3 0.000 0.000 0.625 1
Au4 0.000 0.000 0.375 1
Pu1 0.500 0.500 0.500 1
Pu2 0.500 0.500 0.249 1
Pu3 0.500 0.500 0.751 1
Ca1 0.500 0.500 0.000 1
```

[2]
# CaPuAu4

A geometry-optimized CaPuAu4 structure (PBE-GGA, the Alexandria database).

Properties
The distance to the lowest polymorph of the same formula comes out at 0.142 eV/atom. The calculation puts the energy of formation at -0.4125 eV per atom. As for the space-group type: No. 216.

Cell and atoms, written as CIF:
```
data_CaPuAu4
_chemical_formula_sum 'Ca1 Pu1 Au4'
_cell_length_a 5.699
_cell_length_b 5.699
_cell_length_c 5.699
_cell_angle_alpha 60.00
_cell_angle_beta 60.00
_cell_angle_gamma 60.00
_symmetry_space_group_name_H-M 'P 1'
_symmetry_Int_Tables_number 1
loop_
_symmetry_equiv_pos_as_xyz
'x,y,z'
loop_
_atom_site_label
_atom_site_fract_x
_atom_site_fract_y
_atom_site_fract_z
_atom_site_occupancy
Au1 0.124 0.625 0.625 1
Au2 0.625 0.625 0.124 1
Au3 0.625 0.625 0.625 1
Au4 0.625 0.124 0.625 1
Pu1 0.250 0.250 0.250 1
Ca1 0.000 0.000 0.000 1
```

[3]
# CaPuSnAu

A geometry-optimized CaPuSnAu structure (PBE-GGA, the Alexandria database).

Properties
The distance to the lowest polymorph of the same formula comes out at 0.000 eV/atom. The calculation puts the energy of formation at -0.5490 eV per atom. As for the space-group type: No. 99.

Cell and atoms, written as CIF:
```
data_CaPuSnAu
_chemical_formula_sum 'Ca1 Pu1 Sn1 Au1'
_cell_length_a 3.550
_cell_length_b 3.550
_cell_length_c 8.153
_cell_angle_alpha 90.00
_cell_angle_beta 90.00
_cell_angle_gamma 90.00
_symmetry_space_group_name_H-M 'P 1'
_symmetry_Int_Tables_number 1
loop_
_symmetry_equiv_pos_as_xyz
'x,y,z'
loop_
_atom_site_label
_atom_site_fract_x
_atom_site_fract_y
_atom_site_fract_z
_atom_site_occupancy
Sn1 0.500 0.500 0.106 1
Pu1 0.000 0.000 0.840 1
Ca1 0.000 0.000 0.376 1
Au1 0.500 0.500 0.605 1
```

[4]
# CaPuSnAu

A geometry-optimized CaPuSnAu structure (PBE-GGA, the Alexandria database).

Properties
The distance to the lowest polymorph of the same formula comes out at 0.037 eV/atom. The calculation puts the energy of formation at -0.5116 eV per atom. As for the space-group type: No. 216.

Cell and atoms, written as CIF:
```
data_CaPuSnAu
_chemical_formula_sum 'Ca1 Pu1 Sn1 Au1'
_cell_length_a 5.288
_cell_length_b 5.288
_cell_length_c 5.288
_cell_angle_alpha 60.00
_cell_angle_beta 60.00
_cell_angle_gamma 60.00
_symmetry_space_group_name_H-M 'P 1'
_symmetry_Int_Tables_number 1
loop_
_symmetry_equiv_pos_as_xyz
'x,y,z'
loop_
_atom_site_label
_atom_site_fract_x
_atom_site_fract_y
_atom_site_fract_z
_atom_site_occupancy
Au1 0.250 0.250 0.250 1
Sn1 0.750 0.750 0.750 1
Pu1 0.000 0.000 0.000 1
Ca1 0.500 0.500 0.500 1
```

[5]
# CaPuTlAu

A geometry-optimized CaPuTlAu structure (PBE-GGA, the Alexandria database).

Properties
The distance to the lowest polymorph of the same formula comes out at 0.000 eV/atom. The calculation puts the energy of formation at -0.3958 eV per atom. As for the space-group type: No. 99.

Cell and atoms, written as CIF:
```
data_CaPuTlAu
_chemical_formula_sum 'Ca1 Pu1 Tl1 Au1'
_cell_length_a 3.523
_cell_length_b 3.523
_cell_length_c 8.428
_cell_angle_alpha 90.00
_cell_angle_beta 90.00
_cell_angle_gamma 90.00
_symmetry_space_group_name_H-M 'P 1'
_symmetry_Int_Tables_number 1
loop_
_symmetry_equiv_pos_as_xyz
'x,y,z'
loop_
_atom_site_label
_atom_site_fract_x
_atom_site_fract_y
_atom_site_fract_z
_atom_site_occupancy
Au1 0.500 0.500 0.604 1
Ca1 0.000 0.000 0.382 1
Tl1 0.500 0.500 0.108 1
Pu1 0.000 0.000 0.834 1
```

[6]
# CaPuTlAu

A geometry-optimized CaPuTlAu structure (PBE-GGA, the Alexandria database).

Properties
The distance to the lowest polymorph of the same formula comes out at 0.072 eV/atom. The calculation puts the energy of formation at -0.3240 eV per atom. As for the space-group type: No. 216.

Cell and atoms, written as CIF:
```
data_CaPuTlAu
_chemical_formula_sum 'Ca1 Pu1 Tl1 Au1'
_cell_length_a 5.310
_cell_length_b 5.310
_cell_length_c 5.310
_cell_angle_alpha 60.00
_cell_angle_beta 60.00
_cell_angle_gamma 60.00
_symmetry_space_group_name_H-M 'P 1'
_symmetry_Int_Tables_number 1
loop_
_symmetry_equiv_pos_as_xyz
'x,y,z'
loop_
_atom_site_label
_atom_site_fract_x
_atom_site_fract_y
_atom_site_fract_z
_atom_site_occupancy
Tl1 0.500 0.500 0.500 1
Au1 0.000 0.000 0.000 1
Pu1 0.250 0.250 0.250 1
Ca1 0.750 0.750 0.750 1
```